(1)
Entry from the Alexandria database: crystalline BaYRuO6 at its relaxed geometry (PBE).

Summary:
Space-group type: No. 149
Electronic total energy in eV per atom: -7.1991
Total magnetization in μB per formula unit: 1.04
Uncorrected formation energy in meV/atom: -1931.1

abc: 5.6072 5.6071 5.6481
angles: 89.99 90.00 60.01
Last column: nearest neighbours and their distance in Å.
Element x y z (fractional)
Y: 0.6667 0.6667 0.5000  6 O 2.25
O: 0.0441 0.6024 0.6955  1 Ru 1.92
O: 0.3534 0.6026 0.3047  1 Ru 1.92
O: 0.0439 0.3536 0.3046  1 Ru 1.92
O: 0.6025 0.3534 0.6953  1 Ru 1.92
O: 0.6023 0.0441 0.3045  1 Ru 1.92
O: 0.3535 0.0439 0.6954  1 Ru 1.92
Ru: 0.3333 0.3333 0.5000  6 O 1.92
Ba: 0.0000 0.0000 0.0000  6 O 2.73

=====

(2)
Entry from the Alexandria database: crystalline Ba3ZnRu2O9 at its relaxed geometry (PBE).

Summary:
Space-group type: No. 194
Energy above the most stable polymorph in this dataset in meV/atom: 0
Electronic total energy in eV per atom: -6.4909
Total magnetization in μB per formula unit: 6.05
Uncorrected formation energy in meV/atom: -1809.7

abc: 5.8602 5.8602 14.4275
angles: 90.00 90.00 120.00
Last column: nearest neighbours and their distance in Å.
Element x y z (fractional)
Ba: 0.0000 0.0000 0.2500  12 O 2.93-2.95
Ba: 0.6667 0.3333 0.0900  12 O 2.93-3.01
Ba: 0.6667 0.3333 0.4100  12 O 2.93-3.01
Ba: 0.3333 0.6667 0.9100  12 O 2.93-3.01
Ba: 0.3333 0.6667 0.5900  12 O 2.93-3.01
Ba: 0.0000 0.0000 0.7500  12 O 2.93-2.95
O: 0.3420 0.1710 0.9157  1 Ru 1.93, 1 Zn 2.12
O: 0.1710 0.8290 0.0843  1 Ru 1.93, 1 Zn 2.12
O: 0.8290 0.1710 0.5843  1 Ru 1.93, 1 Zn 2.12
O: 0.8290 0.1710 0.9157  1 Ru 1.93, 1 Zn 2.12
O: 0.6580 0.8290 0.0843  1 Ru 1.93, 1 Zn 2.12
O: 0.1710 0.3420 0.4157  1 Ru 1.93, 1 Zn 2.12
O: 0.3420 0.1710 0.5843  1 Ru 1.93, 1 Zn 2.12
O: 0.9685 0.4842 0.7500  2 Ru 2.06
O: 0.1710 0.3420 0.0843  1 Ru 1.93, 1 Zn 2.12
O: 0.5158 0.0315 0.7500  2 Ru 2.06
O: 0.6580 0.8290 0.4157  1 Ru 1.93, 1 Zn 2.12
O: 0.8290 0.6580 0.9157  1 Ru 1.93, 1 Zn 2.12
O: 0.4842 0.5158 0.2500  2 Ru 2.06
O: 0.5158 0.4842 0.7500  2 Ru 2.06
O: 0.1710 0.8290 0.4157  1 Ru 1.93, 1 Zn 2.12
O: 0.4842 0.9685 0.2500  2 Ru 2.06
O: 0.8290 0.6580 0.5843  1 Ru 1.93, 1 Zn 2.12
O: 0.0315 0.5158 0.2500  2 Ru 2.06
Ru: 0.3333 0.6667 0.3459  6 O 1.93-2.06
Ru: 0.6667 0.3333 0.8459  6 O 1.93-2.06
Ru: 0.3333 0.6667 0.1541  6 O 1.93-2.06
Ru: 0.6667 0.3333 0.6541  6 O 1.93-2.06
Zn: 0.0000 0.0000 0.5000  6 O 2.12
Zn: 0.0000 0.0000 0.0000  6 O 2.12

=====

(3)
Entry from the Alexandria database: crystalline BaZn2Ru2O7 at its relaxed geometry (PBE).

Summary:
Space-group type: No. 44
Electronic total energy in eV per atom: -6.1332
Total magnetization in μB per formula unit: 0.00
Uncorrected formation energy in meV/atom: -1322.4

abc: 3.7776 4.2437 9.7035
angles: 102.63 101.22 90.00
Last column: nearest neighbours and their distance in Å.
Element x y z (fractional)
Ba: 0.0000 0.9963 0.0000  12 O 2.72-2.97
Ru: 0.3895 0.3957 0.7790  5 O 1.89-2.11
Ru: 0.6105 0.6167 0.2210  5 O 1.89-2.11
O: 0.3806 0.8781 0.7613  1 Zn 2.01, 2 Ru 2.09-2.17
O: 0.1107 0.6134 0.2215  2 Ru 1.89
O: 0.2761 0.2844 0.5521  4 Zn 2.09-2.13, 1 Ru 2.11
O: 0.7239 0.7323 0.4479  4 Zn 2.09-2.13, 1 Ru 2.11
O: 0.8893 0.3920 0.7785  2 Ru 1.89
O: 0.6194 0.1168 0.2387  1 Zn 2.01, 2 Ru 2.09-2.17
O: 0.5000 0.4559 0.0000  2 Ru 2.06
Zn: 0.7278 0.2368 0.4556  5 O 2.01-2.13
Zn: 0.2722 0.7812 0.5444  5 O 2.01-2.13

=====

(4)
Entry from the Alexandria database: crystalline Ba3ZnRu2O9 at its relaxed geometry (PBE).

Summary:
Space-group type: No. 164
Energy above the most stable polymorph in this dataset in meV/atom: 25
Electronic total energy in eV per atom: -6.4657
Total magnetization in μB per formula unit: 5.63
Uncorrected formation energy in meV/atom: -1784.6

abc: 5.7828 5.7828 7.0944
angles: 90.00 90.00 120.00
Last column: nearest neighbours and their distance in Å.
Element x y z (fractional)
Ba: 0.3333 0.6667 0.6660  12 O 2.89-2.91
Ba: 0.6667 0.3333 0.3340  12 O 2.89-2.91
Ba: 0.0000 0.0000 0.0000  12 O 2.88-2.89
O: 0.6545 0.8273 0.3242  1 Ru 1.94, 1 Zn 2.13
O: 0.3455 0.1727 0.6758  1 Ru 1.94, 1 Zn 2.13
O: 0.8273 0.6545 0.6758  1 Ru 1.94, 1 Zn 2.13
O: 0.1727 0.8273 0.3242  1 Ru 1.94, 1 Zn 2.13
O: 0.8273 0.1727 0.6758  1 Ru 1.94, 1 Zn 2.13
O: 0.1727 0.3455 0.3242  1 Ru 1.94, 1 Zn 2.13
O: 0.5000 0.5000 0.0000  2 Ru 2.07
O: 0.0000 0.5000 0.0000  2 Ru 2.07
O: 0.5000 0.0000 0.0000  2 Ru 2.07
Ru: 0.6667 0.3333 0.8285  6 O 1.94-2.07
Ru: 0.3333 0.6667 0.1715  6 O 1.94-2.07
Zn: 0.0000 0.0000 0.5000  6 O 2.13